Entry 1:
Computed, not measured: Nd4TlBi2 after structural relaxation at the PBE-GGA level of DFT.

Cell: 6.282 6.844 10.902 Å, 90.00 103.89 90.00°
Fractional positions:
Bi1 0.402 0.250 0.001
Bi2 0.707 0.750 0.549
Bi3 0.293 0.250 0.451
Bi4 0.598 0.750 0.999
Nd1 0.033 0.750 0.854
Nd2 0.537 0.987 0.258
Nd3 0.537 0.513 0.258
Nd4 0.967 0.250 0.146
Nd5 0.463 0.013 0.742
Nd6 0.851 0.250 0.541
Nd7 0.149 0.750 0.459
Nd8 0.463 0.487 0.742
Tl1 0.940 0.250 0.828
Tl2 0.060 0.750 0.172

Output
**Volume**: 455.1 Å³/cell
**DFT formation energy**: -3.3 eV per formula unit

Entry 2:
Computed, not measured: NdTlBi2 after structural relaxation at the PBE-GGA level of DFT.

Cell: 4.455 4.455 8.750 Å, 75.25 75.25 60.00°
Fractional positions:
Bi1 0.746 0.746 0.763
Bi2 0.254 0.254 0.237
Tl1 0.500 0.500 0.500
Nd1 0.000 0.000 0.000

Output
**Volume**: 143.7 Å³/cell
**DFT formation energy**: -0.9 eV per formula unit
**Polymorph energy (0 for the lowest one)**: 0.227 eV/atom

Entry 3:
Computed, not measured: Nd3TlBi after structural relaxation at the PBE-GGA level of DFT.

Cell: 5.298 11.687 11.687 Å, 88.95 76.80 76.80°
Fractional positions:
Nd1 0.639 0.534 0.694
Nd2 0.884 0.948 0.787
Nd3 0.870 0.638 0.124
Nd4 0.116 0.052 0.213
Nd5 0.384 0.787 0.948
Nd6 0.370 0.124 0.638
Nd7 0.361 0.466 0.306
Nd8 0.630 0.876 0.362
Nd9 0.139 0.694 0.534
Nd10 0.861 0.306 0.466
Nd11 0.130 0.362 0.876
Nd12 0.616 0.213 0.052
Tl1 0.750 0.926 0.074
Tl2 0.750 0.253 0.747
Tl3 0.250 0.747 0.253
Tl4 0.250 0.074 0.926
Bi1 0.484 0.168 0.360
Bi2 0.016 0.640 0.832
Bi3 0.516 0.832 0.640
Bi4 0.984 0.360 0.168

Output
**Volume**: 685.4 Å³/cell
**DFT formation energy**: -1.9 eV per formula unit

Entry 4:
Computed, not measured: NdTlBi2 after structural relaxation at the PBE-GGA level of DFT.

Cell: 4.341 4.341 6.722 Å, 90.00 90.00 90.00°
Fractional positions:
Nd1 0.500 0.500 0.500
Bi1 0.000 0.000 0.265
Bi2 0.000 0.000 0.735
Tl1 0.500 0.500 0.000

Output
**Volume**: 126.7 Å³/cell
**DFT formation energy**: -1.8 eV per formula unit
**Polymorph energy (0 for the lowest one)**: 0.000 eV/atom

Number 1: calculated density 8.75 g cm⁻³. Number 2: calculated density 8.86 g cm⁻³. Number 3: calculated density 8.20 g cm⁻³. Number 4: calculated density 10.05 g cm⁻³.